No. 1
Material: Er2Zn3Cu5
Method: DFT, PBE-GGA
State: optimized geometry

abc: 10.8777 11.1286 5.4962
angles: 90.00 90.00 90.00
Space group Ibam (No. 72)
Symmetry-distinct sites (fractional):
Er1 0.2474 0.1247 0.0000 x8
Zn1 0.0000 0.5000 0.2500 x4
Zn2 0.1334 0.1279 0.5000 x8
Cu1 0.0000 0.0000 0.2500 x4
Cu2 0.0000 0.2569 0.2500 x8
Cu3 0.1452 0.3752 0.0000 x8

**Spin magnetization**: 0.000 μB per atom
**Energy of formation from the pure elements**: -0.20 eV/atom
**Crystal system**: orthorhombic

No. 2
Material: RbPdO3
Method: DFT, PBE-GGA
State: optimized geometry

abc: 4.0673 4.0673 4.0673
angles: 90.00 90.00 90.00
Space group Pm-3m (No. 221)
Symmetry-distinct sites (fractional):
Rb1 0.0000 0.0000 0.0000 x1
Pd1 0.5000 0.5000 0.5000 x1
O1 0.0000 0.5000 0.5000 x3

**Spin magnetization**: 0.425 μB per atom
**ΔE_f (raw)**: -32.83 kJ/mol of atoms
**Crystal system**: cubic